Here is a relaxed Li3Ac2InGe4 crystal from Alexandria via LeMat-Bulk. Energies are from PBE-GGA.

Cell: 4.4251 4.4251 11.1646 Å, 90.00 90.00 90.00°
Closest atoms and distances in Å follow each position.
Fractional positions:
Li (0.0000, 0.0000, 0.5000)  4 Ge 2.79
Li (0.5000, 0.0000, 0.8807)  5 Ge 2.55-2.58
Li (0.0000, 0.5000, 0.1193)  5 Ge 2.55-2.58
Ac (0.5000, 0.0000, 0.2347)  8 Ge 3.38-3.43, 6 Li 3.38-3.70, 2 In 3.70
Ac (0.0000, 0.5000, 0.7653)  8 Ge 3.38-3.43, 6 Li 3.38-3.70, 2 In 3.70
In (0.5000, 0.5000, 0.5000)  4 Ge 2.79
Ge (0.5000, 0.5000, 0.0000)  4 Li 2.58
Ge (0.0000, 0.0000, 0.0000)  4 Li 2.58
Ge (0.5000, 0.0000, 0.6520)  3 Li 2.55-2.79, 2 In 2.79
Ge (0.0000, 0.5000, 0.3480)  3 Li 2.55-2.79, 2 In 2.79

Values from the calculation:
Its calculated total energy is -4.09 eV per atom. The value obtained for the formation energy is -569 meV per atom. The theoretical density is 6686 kg/m3.



Here is a relaxed Ac2Mg4InGe3 crystal from Alexandria via LeMat-Bulk. Energies are from PBE-GGA.

Cell: 4.6721 4.6721 11.3419 Å, 90.00 90.00 90.00°
Closest atoms and distances in Å follow each position.
Fractional positions:
Ac (0.5000, 0.0000, 0.2571)  8 Mg 3.53-3.74, 6 Ge 3.58-3.61, 2 In 3.61
Ac (0.0000, 0.5000, 0.7429)  8 Mg 3.53-3.74, 6 Ge 3.58-3.61, 2 In 3.61
Mg (0.5000, 0.5000, 0.0000)  4 Ge 2.79
Mg (0.0000, 0.0000, 0.0000)  4 Ge 2.79
Mg (0.5000, 0.0000, 0.6328)  3 Ge 2.63-2.78, 2 In 2.78
Mg (0.0000, 0.5000, 0.3672)  3 Ge 2.63-2.78, 2 In 2.78
In (0.5000, 0.5000, 0.5000)  4 Mg 2.78
Ge (0.0000, 0.0000, 0.5000)  4 Mg 2.78
Ge (0.5000, 0.0000, 0.8649)  5 Mg 2.63-2.79
Ge (0.0000, 0.5000, 0.1351)  5 Mg 2.63-2.79

Values from the calculation:
Its calculated total energy is -3.56 eV per atom. The value obtained for the formation energy is -437 meV per atom. The theoretical density is 5929 kg/m3.